A geometry-optimized CuAgSn2 structure, computed with PBE.

Summary:
Raw total energy ... -3.61 eV per atom
Calculated volume ... 20.85 A^3/atom
E_form ... 0.13 eV/atom

Cell: 3.222 3.222 8.034 Å, 90.00 90.00 90.00°
Atoms (fractional coordinates):
Cu: 0.500 0.500 0.000
Ag: 0.500 0.500 0.500
Sn: 0.000 0.000 0.225
Sn: 0.000 0.000 0.775



A geometry-optimized Sr2CuAg3Sn4 structure, computed with PBE.

Summary:
Raw total energy ... -3.53 eV per atom
Calculated volume ... 25.64 A^3/atom
E_form ... -0.32 eV/atom

Cell: 4.724 4.724 11.491 Å, 90.00 90.00 90.00°
Atoms (fractional coordinates):
Ag: 0.500 0.000 0.858
Sr: 0.500 0.000 0.263
Sn: 0.500 0.500 0.000
Ag: 0.000 0.500 0.142
Ag: 0.000 0.000 0.500
Sn: 0.500 0.000 0.620
Sn: 0.000 0.000 0.000
Sn: 0.000 0.500 0.380
Sr: 0.000 0.500 0.737
Cu: 0.500 0.500 0.500



A geometry-optimized Cu2TcAgSn structure, computed with PBE.

Summary:
Raw total energy ... -3.87 eV per atom
Calculated volume ... 21.87 A^3/atom
E_form ... 1.21 eV/atom

Cell: 4.645 5.069 4.645 Å, 90.00 90.00 90.00°
Atoms (fractional coordinates):
Cu: 0.500 0.000 0.000
Sn: 0.500 0.500 0.500
Ag: 0.000 0.000 0.000
Cu: 0.000 0.000 0.500
Tc: 0.000 0.500 0.000



A geometry-optimized CuAgSn2Te4 structure, computed with PBE.

Summary:
Raw total energy ... -3.54 eV per atom
Calculated volume ... 33.85 A^3/atom

Cell: 6.898 6.898 7.312 Å, 113.85 113.85 98.20°
Atoms (fractional coordinates):
Ag: 0.000 0.000 0.000
Te: 0.837 0.369 0.206
Sn: 0.265 0.765 0.531
Te: 0.144 0.144 0.755
Sn: 0.765 0.265 0.531
Te: 0.369 0.837 0.206
Cu: 0.508 0.508 0.017
Te: 0.612 0.612 0.755



A geometry-optimized CuAgSnTe3 structure, computed with PBE.

Summary:
Raw total energy ... -3.48 eV per atom
Calculated volume ... 27.17 A^3/atom

Cell: 4.394 8.429 8.806 Å, 88.85 90.00 90.00°
Atoms (fractional coordinates):
Te: 0.750 0.249 0.498
Te: 0.750 0.396 0.171
Cu: 0.250 0.078 0.510
Te: 0.250 0.134 0.830
Ag: 0.250 0.627 0.174
Sn: 0.750 0.874 0.824
Te: 0.250 0.751 0.502
Sn: 0.250 0.126 0.176
Te: 0.750 0.866 0.170
Ag: 0.750 0.373 0.826
Cu: 0.750 0.922 0.490
Te: 0.250 0.604 0.829



A geometry-optimized TiCuAgSn structure, computed with PBE.

Summary:
Raw total energy ... -4.69 eV per atom
Calculated volume ... 17.37 A^3/atom
E_form ... 0.02 eV/atom

Cell: 4.615 4.615 4.615 Å, 60.00 60.00 60.00°
Atoms (fractional coordinates):
Ti: 0.000 0.000 0.000
Sn: 0.750 0.750 0.750
Ag: 0.250 0.250 0.250
Cu: 0.500 0.500 0.500



A geometry-optimized UCuAgSn structure, computed with PBE.

Summary:
Raw total energy ... -5.42 eV per atom
Calculated volume ... 20.53 A^3/atom
E_form ... 0.14 eV/atom

Cell: 4.879 4.879 4.879 Å, 60.00 60.00 60.00°
Atoms (fractional coordinates):
Cu: 0.000 0.000 0.000
Ag: 0.500 0.500 0.500
U: 0.750 0.750 0.750
Sn: 0.250 0.250 0.250



A geometry-optimized Sr2Cu2Ag structure, computed with PBE.

Summary:
Raw total energy ... -2.88 eV per atom
Calculated volume ... 25.36 A^3/atom
E_form ... 0.00 eV/atom

Cell: 3.681 3.681 9.713 Å, 79.08 79.08 90.00°
Atoms (fractional coordinates):
Sr: 0.612 0.612 0.776
Sr: 0.388 0.388 0.224
Cu: 0.750 0.250 0.500
Ag: 0.000 0.000 0.000
Cu: 0.250 0.750 0.500



A geometry-optimized SrCuAg structure, computed with PBE.

Summary:
Raw total energy ... -2.87 eV per atom
Calculated volume ... 26.67 A^3/atom
E_form ... 0.01 eV/atom

Cell: 4.837 4.837 4.837 Å, 60.00 60.00 60.00°
Atoms (fractional coordinates):
Ag: 0.500 0.500 0.500
Cu: 0.750 0.750 0.750
Sr: 0.000 0.000 0.000



A geometry-optimized SrCu2Ag structure, computed with PBE.

Summary:
Raw total energy ... -3.25 eV per atom
Calculated volume ... 22.27 A^3/atom
E_form ... -0.07 eV/atom

Cell: 4.457 4.457 5.782 Å, 66.98 66.98 60.44°
Atoms (fractional coordinates):
Ag: 0.250 0.250 0.250
Cu: 0.943 0.943 0.169
Cu: 0.557 0.557 0.331
Sr: 0.750 0.750 0.750



A geometry-optimized SrCuAg structure, computed with PBE.

Summary:
Raw total energy ... -3.04 eV per atom
Calculated volume ... 25.23 A^3/atom
E_form ... -0.17 eV/atom

Cell: 4.543 4.543 4.235 Å, 90.00 90.00 120.00°
Atoms (fractional coordinates):
Sr: 0.333 0.667 0.666
Cu: 0.667 0.333 0.168
Ag: 0.000 0.000 0.166



A geometry-optimized SrCuAg structure, computed with PBE.

Summary:
Raw total energy ... -3.00 eV per atom
Calculated volume ... 24.47 A^3/atom
E_form ... -0.12 eV/atom

Cell: 6.132 6.116 8.343 Å, 69.80 90.00 90.00°
Atoms (fractional coordinates):
Sr: 0.363 0.835 0.375
Ag: 0.372 0.814 0.968
Ag: 0.872 0.686 0.532
Cu: 0.895 0.101 0.290
Cu: 0.605 0.601 0.790
Sr: 0.637 0.165 0.625
Sr: 0.137 0.335 0.875
Cu: 0.105 0.899 0.710
Ag: 0.128 0.314 0.468
Ag: 0.628 0.186 0.032
Cu: 0.395 0.399 0.210
Sr: 0.863 0.665 0.125